No. 1
A relaxed structure of Ti2MnTe6, computed with PBE.

The structure in POSCAR format:
```
Ti2MnTe6
1.0
7.7759 -1.8810 0.0000
7.7759 1.8810 0.0000
-3.8487 0.0000 8.8385
Ti Mn Te
2 1 6
direct
0.1685 0.1685 0.3354 Ti
0.8315 0.8315 0.6646 Ti
0.5000 0.5000 0.0000 Mn
0.1299 0.1299 0.0296 Te
0.1940 0.1940 0.6371 Te
0.4709 0.4709 0.7042 Te
0.5291 0.5291 0.2958 Te
0.8060 0.8060 0.3629 Te
0.8701 0.8701 0.9704 Te
```

Values from the calculation:
E above lowest polymorph = 0 meV/atom
magnetic moment = 2.7 μB per cell
E_form (uncorrected) = -4.7 eV/f.u.

---

No. 2
A relaxed structure of TiMnTe2, computed with PBE.

The structure in POSCAR format:
```
TiMnTe2
1.0
-3.0111 3.0111 6.0368
3.0111 -3.0111 6.0368
3.0111 3.0111 -6.0368
Ti Mn Te
2 2 4
direct
0.0000 0.0000 0.0000 Ti
0.7500 0.2500 0.5000 Ti
0.2500 0.7500 0.5000 Mn
0.5000 0.5000 0.0000 Mn
0.1570 0.6250 0.0320 Te
0.3750 0.4070 0.5320 Te
0.5930 0.1250 0.9680 Te
0.8750 0.8430 0.4680 Te
```

Values from the calculation:
E above lowest polymorph = 357 meV/atom
magnetic moment = 1.7 μB per cell
E_form (uncorrected) = 1.1 eV/f.u.

---

No. 3
A relaxed structure of TiMn3Te, computed with PBE.

The structure in POSCAR format:
```
TiMn3Te
1.0
4.8033 0.0000 0.0000
0.0000 4.8033 0.0000
0.0000 0.0000 4.8033
Ti Mn Te
1 3 1
direct
0.0000 0.0000 0.0000 Ti
0.0000 0.5000 0.5000 Mn
0.5000 0.0000 0.5000 Mn
0.5000 0.5000 0.0000 Mn
0.5000 0.5000 0.5000 Te
```

Values from the calculation:
E above lowest polymorph = 96 meV/atom
magnetic moment = 7.5 μB per cell
E_form (uncorrected) = 5.2 eV/f.u.

---

No. 4
A relaxed structure of TiMnTe2, computed with PBE.

The structure in POSCAR format:
```
TiMnTe2
1.0
1.8644 1.0764 8.7805
-1.8644 1.0764 8.7805
0.0000 -2.1528 8.7805
Ti Mn Te
1 1 2
direct
0.0000 0.0000 0.0000 Ti
0.5000 0.5000 0.5000 Mn
0.3992 0.3992 0.3992 Te
0.6008 0.6008 0.6008 Te
```

Values from the calculation:
E above lowest polymorph = 0 meV/atom
magnetic moment = 4.6 μB per cell
E_form (uncorrected) = -0.4 eV/f.u.

---

No. 5
A relaxed structure of Ti3MnTe, computed with PBE.

The structure in POSCAR format:
```
Ti3MnTe
1.0
4.9656 0.0000 0.0000
0.0000 4.9656 0.0000
0.0000 0.0000 4.9656
Ti Mn Te
3 1 1
direct
0.0000 0.0000 0.5000 Ti
0.0000 0.5000 0.0000 Ti
0.5000 0.0000 0.0000 Ti
0.5000 0.5000 0.5000 Mn
0.0000 0.0000 0.0000 Te
```

Values from the calculation:
E above lowest polymorph = 802 meV/atom
magnetic moment = 2.7 μB per cell
E_form (uncorrected) = 4.5 eV/f.u.

---

No. 6
A relaxed structure of TiMn2Te, computed with PBE.

The structure in POSCAR format:
```
TiMn2Te
1.0
-1.9734 1.9734 9.2143
1.9734 -1.9734 9.2143
1.9734 1.9734 -9.2143
Ti Mn Te
2 4 2
direct
0.0000 0.0000 0.0000 Ti
0.7500 0.2500 0.5000 Ti
0.1225 0.6250 0.9975 Mn
0.3750 0.3725 0.4975 Mn
0.6275 0.1250 0.0025 Mn
0.8750 0.8775 0.5025 Mn
0.2500 0.7500 0.5000 Te
0.5000 0.5000 0.0000 Te
```

Values from the calculation:
magnetic moment = 10.2 μB per cell
E_form (uncorrected) = 1.2 eV/f.u.

---

No. 7
A relaxed structure of Ti2MnTe6, computed with PBE.

The structure in POSCAR format:
```
Ti2MnTe6
1.0
6.8505 0.0000 0.0000
0.0000 7.0640 0.0000
-6.4183 0.0000 9.2332
Ti Mn Te
4 2 12
direct
0.2185 0.1488 0.2474 Ti
0.2185 0.3512 0.7474 Ti
0.7815 0.6488 0.2526 Ti
0.7815 0.8512 0.7526 Ti
0.0000 0.0000 0.5000 Mn
0.0000 0.5000 0.0000 Mn
0.0887 0.1625 0.9255 Te
0.0887 0.3375 0.4255 Te
0.2632 0.6685 0.9221 Te
0.2632 0.8315 0.4221 Te
0.4152 0.0101 0.7596 Te
0.4152 0.4899 0.2596 Te
0.5848 0.5101 0.7404 Te
0.5848 0.9899 0.2404 Te
0.7368 0.1685 0.5779 Te
0.7368 0.3315 0.0779 Te
0.9113 0.6625 0.5745 Te
0.9113 0.8375 0.0745 Te
```

Values from the calculation:
E above lowest polymorph = 139 meV/atom
magnetic moment = 7.1 μB per cell
E_form (uncorrected) = -3.5 eV/f.u.

---

No. 8
A relaxed structure of Ti3MnTe, computed with PBE.

The structure in POSCAR format:
```
Ti3MnTe
1.0
4.5277 0.0000 0.0000
0.0000 4.5277 0.0000
0.0000 0.0000 4.5277
Ti Mn Te
3 1 1
direct
0.0000 0.0000 0.5000 Ti
0.0000 0.5000 0.0000 Ti
0.5000 0.0000 0.0000 Ti
0.0000 0.0000 0.0000 Mn
0.5000 0.5000 0.5000 Te
```

Values from the calculation:
E above lowest polymorph = 0 meV/atom
magnetic moment = 0.0 μB per cell
E_form (uncorrected) = 0.5 eV/f.u.

---

No. 9
A relaxed structure of Ti2MnTe, computed with PBE.

The structure in POSCAR format:
```
Ti2MnTe
1.0
-2.7394 2.7394 6.1765
2.7394 -2.7394 6.1765
2.7394 2.7394 -6.1765
Ti Mn Te
4 2 2
direct
0.0305 0.6250 0.9055 Ti
0.3750 0.2805 0.4055 Ti
0.7195 0.1250 0.0945 Ti
0.8750 0.9695 0.5945 Ti
0.0000 0.0000 0.0000 Mn
0.7500 0.2500 0.5000 Mn
0.2500 0.7500 0.5000 Te
0.5000 0.5000 0.0000 Te
```

Values from the calculation:
magnetic moment = 0.0 μB per cell
E_form (uncorrected) = 2.5 eV/f.u.

---

No. 10
A relaxed structure of Ti3MnTe6, computed with PBE.

The structure in POSCAR format:
```
Ti3MnTe6
1.0
6.9213 0.0000 0.0000
0.0000 7.1034 0.0000
-6.7965 0.0000 10.2408
Ti Mn Te
6 2 12
direct
0.0000 0.0000 0.0000 Ti
0.0000 0.5000 0.5000 Ti
0.1987 0.1438 0.7532 Ti
0.1987 0.3562 0.2532 Ti
0.8013 0.6438 0.7468 Ti
0.8013 0.8562 0.2468 Ti
0.5000 0.0000 0.5000 Mn
0.5000 0.5000 0.0000 Mn
0.0847 0.1621 0.4162 Te
0.0847 0.3379 0.9162 Te
0.2497 0.6699 0.4166 Te
0.2497 0.8301 0.9166 Te
0.4181 0.0309 0.2461 Te
0.4181 0.4691 0.7461 Te
0.5819 0.5309 0.2539 Te
0.5819 0.9691 0.7539 Te
0.7503 0.1699 0.0834 Te
0.7503 0.3301 0.5834 Te
0.9153 0.6621 0.0838 Te
0.9153 0.8379 0.5838 Te
```

Values from the calculation:
magnetic moment = 14.0 μB per cell
E_form (uncorrected) = -4.5 eV/f.u.

---

No. 11
A relaxed structure of Ti2MnTe5, computed with PBE.

The structure in POSCAR format:
```
Ti2MnTe5
1.0
2.7552 -6.5545 0.0000
2.7552 6.5545 0.0000
0.0000 0.0000 12.9943
Ti Mn Te
4 2 10
direct
0.1692 0.8308 0.5477 Ti
0.1692 0.8308 0.9523 Ti
0.8308 0.1692 0.0477 Ti
0.8308 0.1692 0.4523 Ti
0.1972 0.8028 0.2500 Mn
0.8028 0.1972 0.7500 Mn
0.0416 0.9584 0.1147 Te
0.0416 0.9584 0.3853 Te
0.2559 0.7441 0.7500 Te
0.3341 0.6659 0.0818 Te
0.3341 0.6659 0.4182 Te
0.6659 0.3341 0.5818 Te
0.6659 0.3341 0.9182 Te
0.7441 0.2559 0.2500 Te
0.9584 0.0416 0.6147 Te
0.9584 0.0416 0.8853 Te
```

Values from the calculation:
magnetic moment = 8.7 μB per cell
E_form (uncorrected) = -3.3 eV/f.u.

---

No. 12
A relaxed structure of TiMn3Te, computed with PBE.

The structure in POSCAR format:
```
TiMn3Te
1.0
4.6071 0.0000 0.0000
0.0000 4.6071 0.0000
0.0000 0.0000 4.6071
Ti Mn Te
1 3 1
direct
0.0000 0.0000 0.0000 Ti
0.0000 0.0000 0.5000 Mn
0.0000 0.5000 0.0000 Mn
0.5000 0.0000 0.0000 Mn
0.5000 0.5000 0.5000 Te
```

Values from the calculation:
E above lowest polymorph = 0 meV/atom
magnetic moment = 8.7 μB per cell
E_form (uncorrected) = 4.7 eV/f.u.

---

Which of these has the highest magnetic moment? Ti3MnTe6

---

What did the tenth record say?
A relaxed structure of Ti3MnTe6, computed with PBE.

The structure in POSCAR format:
```
Ti3MnTe6
1.0
6.9213 0.0000 0.0000
0.0000 7.1034 0.0000
-6.7965 0.0000 10.2408
Ti Mn Te
6 2 12
direct
0.0000 0.0000 0.0000 Ti
0.0000 0.5000 0.5000 Ti
0.1987 0.1438 0.7532 Ti
0.1987 0.3562 0.2532 Ti
0.8013 0.6438 0.7468 Ti
0.8013 0.8562 0.2468 Ti
0.5000 0.0000 0.5000 Mn
0.5000 0.5000 0.0000 Mn
0.0847 0.1621 0.4162 Te
0.0847 0.3379 0.9162 Te
0.2497 0.6699 0.4166 Te
0.2497 0.8301 0.9166 Te
0.4181 0.0309 0.2461 Te
0.4181 0.4691 0.7461 Te
0.5819 0.5309 0.2539 Te
0.5819 0.9691 0.7539 Te
0.7503 0.1699 0.0834 Te
0.7503 0.3301 0.5834 Te
0.9153 0.6621 0.0838 Te
0.9153 0.8379 0.5838 Te
```

Values from the calculation:
magnetic moment = 14.0 μB per cell
E_form (uncorrected) = -4.5 eV/f.u.

---

Look up the E_form (uncorrected) of the sixth one. 1.2 eV/f.u.

---

Copy entry 2 word for word.
A relaxed structure of TiMnTe2, computed with PBE.

The structure in POSCAR format:
```
TiMnTe2
1.0
-3.0111 3.0111 6.0368
3.0111 -3.0111 6.0368
3.0111 3.0111 -6.0368
Ti Mn Te
2 2 4
direct
0.0000 0.0000 0.0000 Ti
0.7500 0.2500 0.5000 Ti
0.2500 0.7500 0.5000 Mn
0.5000 0.5000 0.0000 Mn
0.1570 0.6250 0.0320 Te
0.3750 0.4070 0.5320 Te
0.5930 0.1250 0.9680 Te
0.8750 0.8430 0.4680 Te
```

Values from the calculation:
E above lowest polymorph = 357 meV/atom
magnetic moment = 1.7 μB per cell
E_form (uncorrected) = 1.1 eV/f.u.